(1)
# La2ZrW | Alexandria via LeMat-Bulk | PBE | optimized geometry
# - DFT formation energy: 0.5850 eV per atom
# - Mass density: 9.20 g/cm3
# - ΔE to the lowest computed polymorph: 276 meV/atom
data_La2ZrW
_chemical_formula_sum 'La4 Zr2 W2'
_symmetry_space_group_name_H-M 'I 4/m m m'
_symmetry_Int_Tables_number 139
_symmetry_space_group_name_Hall '-I 4 2'
_cell_length_a 4.3709
_cell_length_b 4.3709
_cell_length_c 10.4437
_cell_angle_alpha 90.00
_cell_angle_beta 90.00
_cell_angle_gamma 90.00
loop_
_atom_site_label
_atom_site_type_symbol
_atom_site_fract_x
_atom_site_fract_y
_atom_site_fract_z
_atom_site_occupancy
La1 La 0.0000 0.5000 0.2500 1
Zr1 Zr 0.0000 0.0000 0.0000 1
W1 W 0.0000 0.0000 0.5000 1


(2)
# LaZrW3 | Alexandria via LeMat-Bulk | PBE | optimized geometry
# - DFT formation energy: 1.8804 eV per atom
# - Mass density: 10.76 g/cm3
# - ΔE to the lowest computed polymorph: 0 meV/atom
data_LaZrW3
_chemical_formula_sum 'La1 Zr1 W3'
_symmetry_space_group_name_H-M 'P m -3 m'
_symmetry_Int_Tables_number 221
_symmetry_space_group_name_Hall '-P 4 2 3'
_cell_length_a 4.9406
_cell_length_b 4.9406
_cell_length_c 4.9406
_cell_angle_alpha 90.00
_cell_angle_beta 90.00
_cell_angle_gamma 90.00
loop_
_atom_site_label
_atom_site_type_symbol
_atom_site_fract_x
_atom_site_fract_y
_atom_site_fract_z
_atom_site_occupancy
La1 La 0.0000 0.0000 0.0000 1
Zr1 Zr 0.5000 0.5000 0.5000 1
W1 W 0.0000 0.5000 0.5000 1